# 1
Density functional theory data (PBE) for a relaxed Hf2VAg crystal.

Values from the calculation:
Crystal system: tetragonal
Calculated volume in Å³ per atom: 20.73
E_form in eV per atom: 0.71
Energy relative to the lowest polymorph listed for this composition in meV per atom: 691

```
Hf2VAg
1.0
-0.690 -0.694 3.994
-0.897 -3.925 -0.837
8.632 -4.722 2.787
Hf Ag V
4 2 2
Cartesian
5.089 -7.566 4.856 Hf
1.508 -3.724 0.691 Hf
1.618 -2.102 3.071 Hf
5.875 -5.291 3.270 Hf
3.574 -3.863 4.180 Ag
0.000 0.000 0.000 Ag
-0.793 -2.310 1.579 V
3.471 -5.478 1.764 V
```



# 2
Density functional theory data (PBE) for a relaxed Hf2VAg crystal.

Values from the calculation:
Crystal system: trigonal
Calculated volume in Å³ per atom: 19.47
E_form in eV per atom: 0.50
Energy relative to the lowest polymorph listed for this composition in meV per atom: 480

```
Hf2VAg
1.0
-0.806 -0.324 -2.811
-2.595 -1.221 -0.655
-5.597 8.868 -0.956
Hf V Ag
2 1 1
Cartesian
-4.465 6.488 -1.007 Hf
-4.534 0.836 -3.415 Hf
0.000 0.000 0.000 V
-4.499 3.662 -2.211 Ag
```



# 3
Density functional theory data (PBE) for a relaxed HfVAg2 crystal.

Values from the calculation:
Crystal system: tetragonal
Calculated volume in Å³ per atom: 19.06
E_form in eV per atom: 0.61
Energy relative to the lowest polymorph listed for this composition in meV per atom: 314

```
HfVAg2
1.0
-3.684 -3.228 -5.740
6.560 -1.225 -3.521
1.642 -4.607 -3.423
Ag Hf V
4 2 2
Cartesian
-0.988 -3.249 -4.753 Ag
3.599 -7.324 -10.591 Ag
3.966 -2.395 -3.905 Ag
2.460 -5.153 -6.120 Ag
-0.302 -5.031 -6.897 Hf
0.000 0.000 0.000 Hf
1.438 -2.226 -4.631 V
4.820 -4.030 -5.787 V
```



# 4
Density functional theory data (PBE) for a relaxed HfV4Ag crystal.

Values from the calculation:
Crystal system: cubic
Calculated volume in Å³ per atom: 15.72
E_form in eV per atom: 0.18

```
HfV4Ag
1.0
-4.717 1.946 0.254
-3.184 -0.493 -3.965
-4.034 -3.117 0.336
V Hf Ag
4 1 1
Cartesian
-5.428 0.554 -2.293 V
-7.498 -1.045 -2.121 V
-5.078 -2.044 -2.251 V
-5.865 -0.792 -0.086 V
0.000 0.000 0.000 Hf
-2.984 -0.416 -0.844 Ag
```



# 5
Density functional theory data (PBE) for a relaxed Hf2VAg crystal.

Values from the calculation:
Crystal system: tetragonal
Calculated volume in Å³ per atom: 18.96
E_form in eV per atom: 0.14
Energy relative to the lowest polymorph listed for this composition in meV per atom: 119

```
Hf2VAg
1.0
3.344 0.000 0.000
0.000 4.762 0.000
0.000 0.000 4.762
V Hf Ag
1 2 1
Cartesian
1.672 2.381 2.381 V
0.000 2.381 0.000 Hf
0.000 0.000 2.381 Hf
1.672 0.000 0.000 Ag
```



# 6
Density functional theory data (PBE) for a relaxed HfV2Ag crystal.

Values from the calculation:
Crystal system: cubic
Calculated volume in Å³ per atom: 16.44
E_form in eV per atom: 0.45
Energy relative to the lowest polymorph listed for this composition in meV per atom: 0

```
HfV2Ag
1.0
-2.457 1.965 3.260
-2.357 3.763 -0.897
-4.525 -0.148 -0.173
V Hf Ag
2 1 1
Cartesian
-7.003 4.186 1.642 V
-2.334 1.395 0.547 V
-4.669 2.790 1.095 Hf
0.000 0.000 0.000 Ag
```



# 7
Density functional theory data (PBE) for a relaxed HfAgW3 crystal.

Values from the calculation:
Crystal system: cubic
Calculated volume in Å³ per atom: 22.15
E_form in eV per atom: 2.50
Energy relative to the lowest polymorph listed for this composition in meV per atom: 21

```
HfAgW3
1.0
4.803 0.000 0.000
0.000 4.803 0.000
0.000 0.000 4.803
W Hf Ag
3 1 1
Cartesian
0.000 0.000 2.401 W
2.401 0.000 0.000 W
0.000 2.401 0.000 W
0.000 0.000 0.000 Hf
2.401 2.401 2.401 Ag
```



# 8
Density functional theory data (PBE) for a relaxed HfAg2W crystal.

Values from the calculation:
Crystal system: tetragonal
Calculated volume in Å³ per atom: 19.52
E_form in eV per atom: 0.79
Energy relative to the lowest polymorph listed for this composition in meV per atom: 158

```
HfAg2W
1.0
-1.941 0.655 3.291
0.857 -3.579 1.217
8.153 2.121 6.670
Hf Ag W
2 4 2
Cartesian
4.234 -1.461 5.071 Hf
-0.542 -1.462 2.254 Hf
5.171 -0.991 8.955 Ag
5.703 0.516 6.686 Ag
2.343 -1.629 2.819 Ag
0.920 0.496 3.897 Ag
2.835 0.657 6.108 W
0.000 0.000 0.000 W
```



# 9
Density functional theory data (PBE) for a relaxed HfAgW3 crystal.

Values from the calculation:
Crystal system: cubic
Calculated volume in Å³ per atom: 21.85
E_form in eV per atom: 2.48
Energy relative to the lowest polymorph listed for this composition in meV per atom: 0

```
HfAgW3
1.0
-4.459 -1.653 0.488
1.597 -3.455 2.893
-0.647 2.862 3.774
W Ag Hf
3 1 1
Cartesian
-0.324 1.431 1.887 W
-2.230 -0.826 0.244 W
0.798 -1.727 1.447 W
0.000 0.000 0.000 Ag
-1.755 -1.123 3.578 Hf
```



# 10
Density functional theory data (PBE) for a relaxed HfAg2W crystal.

Values from the calculation:
Crystal system: cubic
Calculated volume in Å³ per atom: 18.16
E_form in eV per atom: 0.63
Energy relative to the lowest polymorph listed for this composition in meV per atom: 0

```
HfAg2W
1.0
-1.955 3.380 2.586
-1.424 3.973 -2.029
-4.575 0.911 -0.409
Ag W Hf
2 1 1
Cartesian
-5.966 6.198 0.111 Ag
-1.989 2.066 0.037 Ag
-3.977 4.132 0.074 W
0.000 0.000 0.000 Hf
```



# 11
Density functional theory data (PBE) for a relaxed YHfAgW2 crystal.

Values from the calculation:
Crystal system: tetragonal
Calculated volume in Å³ per atom: 23.67
E_form in eV per atom: 2.28

```
YHfAgW2
1.0
4.869 0.000 0.000
0.000 4.993 0.000
0.000 0.000 4.869
W Hf Ag Y
2 1 1 1
Cartesian
0.000 0.000 2.435 W
2.435 0.000 0.000 W
2.435 2.496 2.435 Hf
0.000 2.496 0.000 Ag
0.000 0.000 0.000 Y
```



# 12
Density functional theory data (PBE) for a relaxed HfZrAgW crystal.

Values from the calculation:
Crystal system: cubic
Calculated volume in Å³ per atom: 19.18
E_form in eV per atom: 0.07

```
HfZrAgW
1.0
4.769 0.000 0.000
2.385 4.130 0.000
2.385 1.377 3.894
W Ag Zr Hf
1 1 1 1
Cartesian
4.769 2.754 1.947 W
0.000 0.000 0.000 Ag
7.154 4.130 2.921 Zr
2.385 1.377 0.974 Hf
```



# 13
Density functional theory data (PBE) for a relaxed YHfAg crystal.

Values from the calculation:
Crystal system: hexagonal
Calculated volume in Å³ per atom: 35.90
E_form in eV per atom: 1.72
Energy relative to the lowest polymorph listed for this composition in meV per atom: 1843

```
YHfAg
1.0
4.041 -2.333 0.000
0.000 4.666 0.000
0.000 0.000 11.423
Y Ag Hf
2 2 2
Cartesian
0.000 0.000 2.856 Y
0.000 0.000 8.568 Y
2.694 0.000 8.568 Ag
1.347 2.333 2.856 Ag
0.000 0.000 5.712 Hf
0.000 0.000 0.000 Hf
```



# 14
Density functional theory data (PBE) for a relaxed Y3HfAg crystal.

Values from the calculation:
Crystal system: cubic
Calculated volume in Å³ per atom: 32.59
E_form in eV per atom: 0.60
Energy relative to the lowest polymorph listed for this composition in meV per atom: 0

```
Y3HfAg
1.0
-3.464 0.407 4.203
-4.196 -0.941 -3.367
0.473 -5.365 0.909
Y Hf Ag
3 1 1
Cartesian
0.237 -2.682 0.455 Y
-2.098 -0.470 -1.684 Y
-1.732 0.204 2.102 Y
-3.594 -2.949 0.873 Hf
0.000 0.000 0.000 Ag
```



# 15
Density functional theory data (PBE) for a relaxed YHfAg crystal.

Values from the calculation:
Crystal system: triclinic
Calculated volume in Å³ per atom: 23.56
E_form in eV per atom: -0.07
Energy relative to the lowest polymorph listed for this composition in meV per atom: 54

```
YHfAg
1.0
3.300 0.000 0.001
-0.002 5.223 -0.014
-0.008 1.440 8.198
Hf Y Ag
2 2 2
Cartesian
2.618 2.666 2.005 Hf
0.968 5.260 1.202 Hf
2.618 5.256 4.052 Y
0.961 4.110 7.353 Y
0.969 2.608 4.575 Ag
2.613 1.534 6.843 Ag
```



# 16
Density functional theory data (PBE) for a relaxed YHf2Ag2 crystal.

Values from the calculation:
Crystal system: tetragonal
Calculated volume in Å³ per atom: 22.16
E_form in eV per atom: 0.10
Energy relative to the lowest polymorph listed for this composition in meV per atom: 0

```
YHf2Ag2
1.0
-0.276 6.635 -4.804
3.754 -4.170 -5.975
-2.930 -0.966 -1.166
Y Ag Hf
2 4 4
Cartesian
0.000 0.000 0.000 Y
1.739 1.233 -5.389 Y
0.297 3.625 -3.748 Ag
3.182 -1.160 -7.031 Ag
2.105 3.201 -7.937 Ag
1.374 -0.736 -2.841 Ag
1.003 -2.149 -5.401 Hf
-0.454 3.649 -6.544 Hf
-0.918 1.000 -3.184 Hf
1.467 0.499 -8.761 Hf
```



# 17
Density functional theory data (PBE) for a relaxed YHfAg crystal.

Values from the calculation:
Crystal system: tetragonal
Calculated volume in Å³ per atom: 23.42
E_form in eV per atom: -0.11
Energy relative to the lowest polymorph listed for this composition in meV per atom: 12

```
YHfAg
1.0
3.376 0.000 -0.002
0.000 3.377 0.000
3.388 0.000 12.322
Ag Y Hf
2 2 2
Cartesian
3.410 3.121 9.501 Ag
3.406 3.121 5.384 Ag
5.100 1.433 11.566 Y
5.097 1.433 7.481 Y
3.403 3.122 1.659 Hf
1.716 1.433 3.590 Hf
```



# 18
Density functional theory data (PBE) for a relaxed YHfAg crystal.

Values from the calculation:
Crystal system: orthorhombic
Calculated volume in Å³ per atom: 24.24
E_form in eV per atom: 0.00
Energy relative to the lowest polymorph listed for this composition in meV per atom: 119

```
YHfAg
1.0
-5.689 3.856 -2.379
-2.760 -2.104 3.191
1.806 6.117 5.595
Hf Y Ag
4 4 4
Cartesian
-4.184 2.313 -0.353 Hf
-0.667 2.659 2.917 Hf
-2.460 5.557 6.760 Hf
-5.976 5.211 3.490 Hf
-7.276 3.259 1.079 Y
-4.172 2.209 3.072 Y
-2.471 5.660 3.336 Y
0.633 4.610 5.329 Y
-4.717 6.669 5.541 Ag
-2.338 3.162 5.287 Ag
-1.926 1.200 0.866 Ag
-4.305 4.707 1.121 Ag
```



# 19
Density functional theory data (PBE) for a relaxed YHfAg crystal.

Values from the calculation:
Crystal system: monoclinic
Calculated volume in Å³ per atom: 23.35
E_form in eV per atom: -0.05
Energy relative to the lowest polymorph listed for this composition in meV per atom: 70

```
YHfAg
1.0
8.630 0.014 0.000
-1.535 4.877 0.000
0.000 0.000 3.328
Y Hf Ag
2 2 2
Cartesian
0.354 2.133 0.236 Y
5.843 3.834 0.236 Y
3.865 0.546 0.236 Hf
3.098 2.984 1.900 Hf
0.014 4.706 1.900 Ag
6.182 1.260 1.899 Ag
```



# 20
Density functional theory data (PBE) for a relaxed YHfAg crystal.

Values from the calculation:
Crystal system: monoclinic
Calculated volume in Å³ per atom: 23.49
E_form in eV per atom: -0.12
Energy relative to the lowest polymorph listed for this composition in meV per atom: 0

```
YHfAg
1.0
8.241 0.000 -0.011
0.001 5.149 0.000
0.705 0.000 3.321
Hf Ag Y
2 2 2
Cartesian
3.721 2.451 0.962 Hf
4.720 5.025 2.482 Hf
6.754 5.026 0.317 Ag
1.686 2.453 3.126 Ag
6.892 2.451 2.026 Y
1.549 5.027 1.418 Y
```